# Mn4AsIr

A relaxed structure of Mn4AsIr (GGA-PBE, the Alexandria database).

```
Mn4AsIr
1.0
0.0000 3.3763 3.3763
3.3763 0.0000 3.3763
3.3763 3.3763 0.0000
Mn As Ir
4 1 1
direct
0.3757 0.3757 0.3757
0.3757 0.3757 0.8728
0.3757 0.8728 0.3757
0.8728 0.3757 0.3757
0.0000 0.0000 0.0000
0.7500 0.7500 0.7500
```

Values from the calculation:
Space-group type = F-43m (216)
Calculated formation energy = 1.99 eV per formula unit

# Cr5Os3

A relaxed structure of Cr5Os3 (GGA-PBE, the Alexandria database).

```
Cr5Os3
1.0
6.3029 -3.6438 0.0000
6.3029 3.6438 0.0000
0.0000 0.0000 4.7219
Cr Os
10 6
direct
0.0000 0.2208 0.7500
0.0000 0.7792 0.2500
0.2208 0.0000 0.2500
0.2212 0.7788 0.7500
0.3332 0.3332 0.0000
0.3332 0.3332 0.5000
0.6668 0.6668 0.0000
0.6668 0.6668 0.5000
0.7792 0.0000 0.7500
0.7788 0.2212 0.2500
0.9999 0.4092 0.2500
0.0001 0.5908 0.7500
0.4092 0.9999 0.7500
0.4092 0.5908 0.2500
0.5908 0.0001 0.2500
0.5908 0.4092 0.7500
```

Values from the calculation:
Space-group type = Cmcm (63)
Calculated formation energy = 2.59 eV per formula unit